# 1
Below is crystalline TbSmBe at its relaxed geometry, with properties calculated at the GGA-PBE level.

Output
Volume in Å³/cell: 77.8
Electronic total energy in eV per atom: -3.43

a b c (Å): 4.7921 4.7921 4.7921
angles (deg): 60.00 60.00 60.00
Last column: nearest neighbours and their distance in Å.
Fractional positions:
Tb: 0.0000 0.0000 0.0000  4 Sm 2.93
Sm: 0.7500 0.7500 0.7500  4 Tb 2.93, 4 Be 2.93
Be: 0.5000 0.5000 0.5000  4 Sm 2.93


# 2
Below is crystalline SmBeTc at its relaxed geometry, with properties calculated at the GGA-PBE level.

Output
Volume in Å³/cell: 56.1
Electronic total energy in eV per atom: -5.80

a b c (Å): 4.2960 4.2960 4.2960
angles (deg): 60.00 60.00 60.00
Last column: nearest neighbours and their distance in Å.
Fractional positions:
Sm: 0.0000 0.0000 0.0000  4 Be 2.63
Be: 0.2500 0.2500 0.2500  4 Tc 2.63, 4 Sm 2.63
Tc: 0.5000 0.5000 0.5000  4 Be 2.63


# 3
Below is crystalline SmBeTe at its relaxed geometry, with properties calculated at the GGA-PBE level.

Output
Volume in Å³/cell: 88.1
Electronic total energy in eV per atom: -3.76

a b c (Å): 4.9937 4.9937 4.9937
angles (deg): 60.00 60.00 60.00
Last column: nearest neighbours and their distance in Å.
Fractional positions:
Sm: 0.0000 0.0000 0.0000  4 Be 3.06, 4 Te 3.06
Be: 0.7500 0.7500 0.7500  4 Sm 3.06
Te: 0.2500 0.2500 0.2500  4 Sm 3.06


# 4
Below is crystalline SmBeTe at its relaxed geometry, with properties calculated at the GGA-PBE level.

Output
Volume in Å³/cell: 86.4
Electronic total energy in eV per atom: -3.63

a b c (Å): 4.9621 4.9621 4.9621
angles (deg): 60.00 60.00 60.00
Last column: nearest neighbours and their distance in Å.
Fractional positions:
Sm: 0.0000 0.0000 0.0000  4 Te 3.04
Be: 0.5000 0.5000 0.5000  4 Te 3.04
Te: 0.7500 0.7500 0.7500  4 Sm 3.04, 4 Be 3.04